Entry 1:
DFT (PBE) results for an optimized crystal structure of AlCuAg2.

```
4
Lattice="0.000 3.159 3.159 3.159 0.000 3.159 3.159 3.159 0.000" Properties=species:S:1:pos:R:3 pbc="T T T"
Al 0.000 0.000 0.000
Cu 1.580 1.580 1.580
Ag 3.159 3.159 3.159
Ag 4.739 4.739 4.739
```

Calculated values
**E**: -3.29 eV/atom



Entry 2:
DFT (PBE) results for an optimized crystal structure of AlCu2Ag.

```
8
Lattice="4.357 0.000 0.000 0.000 5.428 0.000 0.000 0.000 4.737" Properties=species:S:1:pos:R:3 pbc="T T T"
Al 1.089 1.357 0.911
Al 3.267 4.071 3.825
Cu 1.089 2.735 3.102
Cu 1.089 5.407 3.102
Cu 3.267 0.021 1.635
Cu 3.267 2.693 1.635
Ag 1.089 4.071 0.723
Ag 3.267 1.357 4.013
```

Calculated values
**E**: -3.59 eV/atom



Entry 3:
DFT (PBE) results for an optimized crystal structure of DyHo2Al3CuAg2.

```
9
Lattice="4.064 0.000 0.000 0.000 6.272 3.621 0.000 -6.272 3.621" Properties=species:S:1:pos:R:3 pbc="T T T"
Dy 0.000 0.000 0.000
Ho 0.000 -2.531 2.847
Ho 0.000 2.531 2.847
Al 2.032 0.000 2.665
Al 2.032 -1.422 5.129
Al 2.032 1.422 5.129
Cu 0.000 0.000 4.307
Ag 2.032 -4.172 4.310
Ag 2.032 4.172 4.310
```

Calculated values
**E**: -4.26 eV/atom



Entry 4:
DFT (PBE) results for an optimized crystal structure of TbDy2Al3CuAg2.

```
9
Lattice="4.087 0.000 0.000 0.000 6.285 3.626 0.000 -6.285 3.626" Properties=species:S:1:pos:R:3 pbc="T T T"
Tb 0.000 0.000 0.000
Dy 0.000 -2.526 4.377
Dy 0.000 2.526 4.377
Al 2.044 -1.428 2.096
Al 2.044 1.428 2.096
Al 2.044 0.000 4.571
Cu 0.000 0.000 2.924
Ag 2.044 -4.180 2.919
Ag 2.044 4.180 2.919
```

Calculated values
**E**: -4.26 eV/atom



Entry 5:
DFT (PBE) results for an optimized crystal structure of Tb2DyAl3CuAg2.

```
9
Lattice="4.080 0.000 0.000 0.000 6.301 3.639 0.000 -6.301 3.639" Properties=species:S:1:pos:R:3 pbc="T T T"
Tb 0.000 -3.769 3.639
Tb 0.000 3.769 3.639
Dy 0.000 0.000 4.380
Al 2.040 -1.429 2.289
Al 2.040 1.429 2.289
Al 2.040 0.000 7.091
Cu 0.000 0.000 1.467
Ag 2.040 -2.090 5.100
Ag 2.040 2.090 5.100
```

Calculated values
**E**: -4.27 eV/atom



Entry 6:
DFT (PBE) results for an optimized crystal structure of Dy2TmAl3CuAg2.

```
9
Lattice="4.081 0.000 0.000 0.000 6.235 3.619 0.000 -6.235 3.619" Properties=species:S:1:pos:R:3 pbc="T T T"
Dy 0.000 -3.716 3.619
Dy 0.000 3.716 3.619
Tm 0.000 0.000 4.370
Al 2.041 -1.423 2.290
Al 2.041 1.423 2.290
Al 2.041 0.000 7.052
Cu 0.000 0.000 1.476
Ag 2.041 -2.048 5.079
Ag 2.041 2.048 5.079
```

Calculated values
**E**: -4.25 eV/atom



Entry 7:
DFT (PBE) results for an optimized crystal structure of HoEr2Al3CuAg2.

```
9
Lattice="4.076 0.000 0.000 0.000 6.241 3.599 0.000 -6.241 3.599" Properties=species:S:1:pos:R:3 pbc="T T T"
Ho 0.000 0.000 0.000
Er 0.000 -2.513 2.844
Er 0.000 2.513 2.844
Al 2.038 0.000 2.646
Al 2.038 -1.427 5.116
Al 2.038 1.427 5.116
Cu 0.000 0.000 4.288
Ag 2.038 -4.152 4.295
Ag 2.038 4.152 4.295
```

Calculated values
**E**: -4.26 eV/atom



Entry 8:
DFT (PBE) results for an optimized crystal structure of Er3Al2ZnCuAg2.

```
9
Lattice="4.082 0.000 0.000 0.000 6.189 3.598 0.000 -6.189 3.598" Properties=species:S:1:pos:R:3 pbc="T T T"
Er 0.000 0.000 0.000
Er 0.000 -2.463 2.803
Er 0.000 2.463 2.803
Al 2.041 -1.400 5.095
Al 2.041 1.400 5.095
Zn 2.041 0.000 2.593
Cu 0.000 0.000 4.323
Ag 2.041 -4.088 4.241
Ag 2.041 4.088 4.241
```

Calculated values
**E**: -3.94 eV/atom



Entry 9:
DFT (PBE) results for an optimized crystal structure of AlFeCuAg.

```
4
Lattice="0.000 3.035 3.035 3.035 0.000 3.035 3.035 3.035 0.000" Properties=species:S:1:pos:R:3 pbc="T T T"
Al 0.000 0.000 0.000
Fe 4.553 4.553 4.553
Cu 1.518 1.518 1.518
Ag 3.035 3.035 3.035
```

Calculated values
**ΔE to the lowest computed polymorph**: 0.000 eV per formula unit
**E**: -4.55 eV/atom



Entry 10:
DFT (PBE) results for an optimized crystal structure of Li2AlGaCu2Ag2.

```
8
Lattice="4.342 0.000 0.000 0.000 4.342 0.000 0.000 0.000 6.126" Properties=species:S:1:pos:R:3 pbc="T T T"
Li 0.000 0.000 0.000
Li 2.171 2.171 3.063
Al 0.000 0.000 3.063
Ga 2.171 2.171 0.000
Cu 0.000 2.171 1.557
Cu 2.171 0.000 4.568
Ag 0.000 2.171 4.575
Ag 2.171 0.000 1.551
```

Calculated values
**E**: -3.16 eV/atom



Entry 11:
DFT (PBE) results for an optimized crystal structure of HfAlCuAg.

```
4
Lattice="0.000 3.209 3.209 3.209 0.000 3.209 3.209 3.209 0.000" Properties=species:S:1:pos:R:3 pbc="T T T"
Hf 0.000 0.000 0.000
Al 3.209 3.209 3.209
Cu 4.813 4.813 4.813
Ag 1.604 1.604 1.604
```

Calculated values
**ΔE to the lowest computed polymorph**: 0.000 eV per formula unit
**E**: -5.23 eV/atom



Entry 12:
DFT (PBE) results for an optimized crystal structure of Hf2Al2CuAg.

```
24
Lattice="7.533 0.000 0.000 0.000 4.327 0.000 -2.433 0.000 14.184" Properties=species:S:1:pos:R:3 pbc="T T T"
Hf 0.000 0.000 0.000
Hf -1.128 2.163 6.999
Hf -0.027 0.000 10.442
Hf 1.274 2.163 3.431
Hf 2.445 0.000 6.866
Hf 1.334 2.163 14.184
Hf 5.023 0.000 3.349
Hf 3.918 2.163 10.494
Al -1.180 2.163 12.244
Al 0.043 0.000 5.148
Al 1.271 2.163 8.686
Al 2.504 0.000 1.732
Al 3.745 2.163 5.149
Al 2.571 0.000 12.284
Al 6.295 2.163 1.741
Al 5.103 0.000 8.726
Cu -1.192 2.163 9.598
Cu 0.013 0.000 2.587
Cu 1.275 2.163 6.037
Cu 3.765 2.163 2.575
Ag 0.067 0.000 13.179
Ag 2.558 0.000 9.588
Ag 5.049 0.000 6.063
Ag 3.844 2.163 13.203
```

Calculated values
**E**: -5.78 eV/atom



Entry 13:
DFT (PBE) results for an optimized crystal structure of HfAlCuAg.

```
4
Lattice="0.000 3.225 3.225 3.225 0.000 3.225 3.225 3.225 0.000" Properties=species:S:1:pos:R:3 pbc="T T T"
Hf 0.000 0.000 0.000
Al 1.613 1.613 1.613
Cu 3.225 3.225 3.225
Ag 4.838 4.838 4.838
```

Calculated values
**ΔE to the lowest computed polymorph**: 0.613 eV per formula unit
**E**: -5.08 eV/atom



Entry 14:
DFT (PBE) results for an optimized crystal structure of HoTm2Al3CuAg2.

```
9
Lattice="4.021 0.000 0.000 0.000 6.272 3.614 0.000 -6.272 3.614" Properties=species:S:1:pos:R:3 pbc="T T T"
Ho 0.000 0.000 0.000
Tm 0.000 -2.516 4.362
Tm 0.000 2.516 4.362
Al 2.011 -1.443 2.083
Al 2.011 1.443 2.083
Al 2.011 0.000 4.574
Cu 0.000 0.000 2.922
Ag 2.011 -4.164 2.911
Ag 2.011 4.164 2.911
```

Calculated values
**E**: -4.23 eV/atom



Entry 15:
DFT (PBE) results for an optimized crystal structure of Ho2TmAl3CuAg2.

```
9
Lattice="4.056 0.000 0.000 0.000 6.237 3.608 0.000 -6.237 3.608" Properties=species:S:1:pos:R:3 pbc="T T T"
Ho 0.000 -3.721 3.608
Ho 0.000 3.721 3.608
Tm 0.000 0.000 4.358
Al 2.028 -1.427 2.282
Al 2.028 1.427 2.282
Al 2.028 0.000 7.026
Cu 0.000 0.000 1.469
Ag 2.028 -2.061 5.062
Ag 2.028 2.061 5.062
```

Calculated values
**E**: -4.25 eV/atom



Entry 16:
DFT (PBE) results for an optimized crystal structure of Li2AlInCu2Ag2.

```
8
Lattice="4.354 0.000 0.000 0.000 4.354 0.000 0.000 0.000 6.511" Properties=species:S:1:pos:R:3 pbc="T T T"
Li 0.000 0.000 0.000
Li 2.177 2.177 3.255
Al 0.000 0.000 3.255
In 2.177 2.177 0.000
Cu 0.000 2.177 1.793
Cu 2.177 0.000 4.717
Ag 0.000 2.177 4.735
Ag 2.177 0.000 1.775
```

Calculated values
**E**: -3.10 eV/atom



Entry 17:
DFT (PBE) results for an optimized crystal structure of Li2La2Al2CuAg.

```
8
Lattice="4.854 0.000 0.000 0.000 4.854 0.000 0.000 0.000 6.906" Properties=species:S:1:pos:R:3 pbc="T T T"
Li 0.000 0.000 0.000
Li 2.427 2.427 3.453
La 0.000 2.427 5.101
La 2.427 0.000 1.805
Al 0.000 2.427 1.767
Al 2.427 0.000 5.139
Cu 0.000 0.000 3.453
Ag 2.427 2.427 0.000
```

Calculated values
**E**: -3.73 eV/atom



Entry 18:
DFT (PBE) results for an optimized crystal structure of Li2MgAlCu2Ag2.

```
8
Lattice="4.394 0.000 0.000 0.000 4.394 0.000 0.000 0.000 6.216" Properties=species:S:1:pos:R:3 pbc="T T T"
Li 0.000 0.000 0.000
Li 2.197 2.197 3.108
Mg 0.000 0.000 3.108
Al 2.197 2.197 0.000
Cu 0.000 2.197 1.449
Cu 2.197 0.000 4.767
Ag 0.000 2.197 4.729
Ag 2.197 0.000 1.487
```

Calculated values
**E**: -2.94 eV/atom



Entry 19:
DFT (PBE) results for an optimized crystal structure of Li2Sc2Al2CuAg.

```
8
Lattice="4.487 0.000 0.000 0.000 4.487 0.000 0.000 0.000 6.388" Properties=species:S:1:pos:R:3 pbc="T T T"
Li 0.000 0.000 0.000
Li 2.243 2.243 3.194
Sc 0.000 2.243 1.513
Sc 2.243 0.000 4.874
Al 0.000 2.243 4.845
Al 2.243 0.000 1.543
Cu 2.243 2.243 0.000
Ag 0.000 0.000 3.194
```

Calculated values
**E**: -4.16 eV/atom



Entry 20:
DFT (PBE) results for an optimized crystal structure of LuAlCuAg.

```
4
Lattice="0.000 3.283 3.283 3.283 0.000 3.283 3.283 3.283 0.000" Properties=species:S:1:pos:R:3 pbc="T T T"
Lu 0.000 0.000 0.000
Al 3.283 3.283 3.283
Cu 4.924 4.924 4.924
Ag 1.641 1.641 1.641
```

Calculated values
**ΔE to the lowest computed polymorph**: 0.000 eV per formula unit
**E**: -4.03 eV/atom



Entry 21:
DFT (PBE) results for an optimized crystal structure of LuAlCuAg.

```
4
Lattice="0.000 3.302 3.302 3.302 0.000 3.302 3.302 3.302 0.000" Properties=species:S:1:pos:R:3 pbc="T T T"
Lu 0.000 0.000 0.000
Al 1.651 1.651 1.651
Cu 3.302 3.302 3.302
Ag 4.954 4.954 4.954
```

Calculated values
**ΔE to the lowest computed polymorph**: 0.740 eV per formula unit
**E**: -3.84 eV/atom



Entry 22:
DFT (PBE) results for an optimized crystal structure of Na2Mg2Al2CuAg.

```
8
Lattice="4.672 0.000 0.000 0.000 4.672 0.000 0.000 0.000 6.686" Properties=species:S:1:pos:R:3 pbc="T T T"
Na 0.000 0.000 0.000
Na 2.336 2.336 3.343
Mg 0.000 2.336 1.600
Mg 2.336 0.000 5.086
Al 0.000 2.336 5.097
Al 2.336 0.000 1.589
Cu 2.336 2.336 0.000
Ag 0.000 0.000 3.343
```

Calculated values
**E**: -2.40 eV/atom



Entry 23:
DFT (PBE) results for an optimized crystal structure of Na4Al2CuAg.

```
8
Lattice="4.827 0.000 0.000 0.000 4.827 0.000 0.000 0.000 6.849" Properties=species:S:1:pos:R:3 pbc="T T T"
Na 0.000 0.000 0.000
Na 0.000 2.413 5.098
Na 2.413 0.000 1.751
Na 2.413 2.413 3.425
Al 0.000 2.413 1.790
Al 2.413 0.000 5.060
Cu 0.000 0.000 3.425
Ag 2.413 2.413 0.000
```

Calculated values
**E**: -2.26 eV/atom



Entry 24:
DFT (PBE) results for an optimized crystal structure of Na2Al4CuAg.

```
8
Lattice="7.333 0.000 0.000 0.000 2.136 4.814 0.000 -2.136 4.814" Properties=species:S:1:pos:R:3 pbc="T T T"
Na 0.000 0.000 0.000
Na 3.666 0.000 1.293
Al 1.343 0.000 6.850
Al 2.168 0.000 4.047
Al 5.165 0.000 4.047
Al 5.990 0.000 6.850
Cu 0.000 0.000 2.726
Ag 3.666 0.000 8.163
```

Calculated values
**E**: -3.05 eV/atom



Entry 25:
DFT (PBE) results for an optimized crystal structure of AlCuNiAg.

```
4
Lattice="0.000 3.010 3.010 3.010 0.000 3.010 3.010 3.010 0.000" Properties=species:S:1:pos:R:3 pbc="T T T"
Al 0.000 0.000 0.000
Cu 1.505 1.505 1.505
Ni 3.010 3.010 3.010
Ag 4.514 4.514 4.514
```

Calculated values
**ΔE to the lowest computed polymorph**: 0.233 eV per formula unit
**E**: -4.03 eV/atom